## GaFe2CoC (PBE)

Data for a relaxed structure of GaFe2CoC.

The crystal system is tetragonal. The total magnetization comes out at 4.14 μB per formula unit. The calculation puts the energy of formation from the pure elements at 0.36 eV/atom.

The space group is P4/mmm (No. 123) and the conventional cell measures 3.692, 3.692 and 4.137 Å, with angles of 90.00, 90.00 and 90.00 degrees. The distinct sites, in fractional coordinates, are Ga at (0.000, 0.000, 0.000), Fe at (0.000, 0.500, 0.500), Co at (0.500, 0.500, 0.000) and C at (0.000, 0.000, 0.500).



## La2Ce4Sb3Cl2 (PBE)

Data for a relaxed structure of La2Ce4Sb3Cl2.

The crystal system is tetragonal. The total magnetization comes out at 3.29 μB per formula unit. As for the uncorrected formation energy: -983 meV/atom.

The space group is I4/mmm (No. 139) and the conventional cell measures 5.257, 5.257 and 24.346 Å, with angles of 90.00, 90.00 and 90.00 degrees. The distinct sites, in fractional coordinates, are La at (0.000, 0.000, 0.195), Ce at (0.000, 0.500, 0.085), Sb at (0.000, 0.000, 0.328), Sb at (0.000, 0.000, 0.500) and Cl at (0.000, 0.000, 0.072).



Question: What is the formula in the second record?
Answer: La2Ce4Sb3Cl2